No. 1
Ba3Tl2: relaxed, PBE.

```
Ba3Tl2
1.0
-4.082 -1.294 4.227
5.858 -0.015 1.371
-0.406 7.197 1.811
Ba Tl
3 2
Direct
0.000 0.000 0.000 Ba
0.333 0.667 0.334 Ba
0.667 0.333 0.666 Ba
0.667 0.333 0.150 Tl
0.333 0.667 0.850 Tl
```

Computed properties:
Electronic total energy: -2.3982 eV/atom
D(E_F): 0.85 states/eV per atom
Density: 5.8 g cm⁻³
Space-group type: P-3m1 (164)
Energy relative to the lowest polymorph listed for this composition: 44 meV per atom
Formation energy from the elements: -298 meV/atom

No. 2
BaTl: relaxed, PBE.

```
BaTl
1.0
-2.109 3.546 0.902
-1.855 -3.041 -2.268
-4.217 -5.138 10.336
Ba Tl
2 2
Direct
0.333 0.667 0.043 Ba
0.667 0.333 0.543 Ba
0.667 0.333 0.828 Tl
0.333 0.667 0.328 Tl
```

Computed properties:
Electronic total energy: -2.1219 eV/atom
D(E_F): 1.41 states/eV per atom
Density: 6.0 g cm⁻³
Space-group type: P6_3mc (186)
Formation energy from the elements: 23 meV/atom

No. 3
BaTl2: relaxed, PBE.

```
BaTl2
1.0
4.098 0.000 0.000
0.000 4.098 0.000
-2.049 -2.049 6.388
Ba Tl
1 2
Direct
0.000 0.000 0.000 Ba
0.685 0.685 0.370 Tl
0.315 0.315 0.630 Tl
```

Computed properties:
Electronic total energy: -2.5089 eV/atom
D(E_F): 0.60 states/eV per atom
Density: 8.5 g cm⁻³
Space-group type: I4/mmm (139)
Formation energy from the elements: -291 meV/atom

No. 4
BaTl: relaxed, PBE.

```
BaTl
1.0
-0.223 4.415 -1.295
-2.685 -3.137 -2.041
-3.541 0.818 3.399
Tl Ba
1 1
Direct
0.667 0.333 0.500 Tl
0.000 0.000 0.000 Ba
```

Computed properties:
Electronic total energy: -2.3403 eV/atom
D(E_F): 1.25 states/eV per atom
Density: 6.2 g cm⁻³
Space-group type: P-6m2 (187)
Formation energy from the elements: -196 meV/atom

No. 5
BaTl: relaxed, PBE.

```
BaTl
1.0
4.159 0.000 0.000
0.000 5.544 0.000
0.000 0.000 7.424
Ba Tl
2 2
Direct
0.500 0.500 0.681 Ba
0.000 0.000 0.069 Ba
0.500 0.500 0.216 Tl
0.000 0.000 0.534 Tl
```

Computed properties:
Electronic total energy: -2.3433 eV/atom
D(E_F): 1.07 states/eV per atom
Density: 6.6 g cm⁻³
Space-group type: Pmmn (59)
Formation energy from the elements: -199 meV/atom

No. 6
Ba2Tl: relaxed, PBE.

```
Ba2Tl
1.0
6.035 0.000 0.000
-3.017 5.226 0.000
0.000 0.000 3.784
Tl Ba
1 2
Direct
0.000 0.000 0.000 Tl
0.667 0.333 0.500 Ba
0.333 0.667 0.500 Ba
```

Computed properties:
Electronic total energy: -2.1880 eV/atom
D(E_F): 0.44 states/eV per atom
Density: 6.7 g cm⁻³
Space-group type: P6/mmm (191)
Formation energy from the elements: -117 meV/atom

No. 7
Ba5Tl6: relaxed, PBE.

```
Ba5Tl6
1.0
0.902 3.172 -4.946
7.470 -4.423 -1.475
-8.720 -5.456 -1.517
Tl Ba
6 5
Direct
0.173 0.444 0.345 Tl
0.500 0.292 0.000 Tl
0.500 0.708 0.000 Tl
0.173 0.901 0.345 Tl
0.827 0.099 0.655 Tl
0.827 0.556 0.655 Tl
0.000 0.500 0.000 Ba
0.322 0.322 0.645 Ba
0.641 0.141 0.282 Ba
0.678 0.678 0.355 Ba
0.359 0.859 0.718 Ba
```

Computed properties:
Electronic total energy: -2.4484 eV/atom
D(E_F): 0.92 states/eV per atom
Density: 6.8 g cm⁻³
Space-group type: Immm (71)
Formation energy from the elements: -284 meV/atom

No. 8
BaTl2: relaxed, PBE.

```
BaTl2
1.0
8.132 0.372 0.000
-6.783 4.502 0.000
0.000 0.000 5.415
Tl Ba
4 2
Direct
0.388 0.612 0.250 Tl
0.752 0.248 0.250 Tl
0.612 0.388 0.750 Tl
0.248 0.752 0.750 Tl
0.906 0.094 0.750 Ba
0.094 0.906 0.250 Ba
```

Computed properties:
Electronic total energy: -2.5479 eV/atom
D(E_F): 0.30 states/eV per atom
Density: 8.6 g cm⁻³
Space-group type: Cmcm (63)
Formation energy from the elements: -329 meV/atom

Please write out number 3 again, unchanged.
BaTl2: relaxed, PBE.

```
BaTl2
1.0
4.098 0.000 0.000
0.000 4.098 0.000
-2.049 -2.049 6.388
Ba Tl
1 2
Direct
0.000 0.000 0.000 Ba
0.685 0.685 0.370 Tl
0.315 0.315 0.630 Tl
```

Computed properties:
Electronic total energy: -2.5089 eV/atom
D(E_F): 0.60 states/eV per atom
Density: 8.5 g cm⁻³
Space-group type: I4/mmm (139)
Formation energy from the elements: -291 meV/atom